No. 1
The following is a PBEsol calculation of a relaxed structure of K2ScReSi, from the Alexandria database.

Calculated values
Its formation energy (no corrections) is 1.800 eV per atom. Its volume is 161.7 Å³ per cell.

a = 5.954 Å, b = 5.954 Å, c = 4.562 Å
α = 90.00°, β = 90.00°, γ = 90.00°
Space group P4/mmm (No. 123)
Inequivalent atoms, fractional coordinates:
1 K 0.000 0.500 0.000 x2
2 Sc 0.000 0.000 0.000 x1
3 Re 0.000 0.000 0.500 x1
4 Si 0.500 0.500 0.500 x1

***

No. 2
The following is a PBEsol calculation of a relaxed structure of SrCaTe2, from the Alexandria database.

Calculated values
Its formation energy (no corrections) is -1.689 eV per atom. Its volume is 403.7 Å³ per cell.

a = 4.5649 Å, b = 4.5649 Å, c = 22.3699 Å
α = 90.00°, β = 90.00°, γ = 120.00°
Space group R-3m (No. 166, hexagonal axes)
Inequivalent atoms, fractional coordinates:
1 Sr 0.0000 0.0000 0.0000 x3
2 Ca 0.0000 0.0000 0.5000 x3
3 Te 0.0000 0.0000 0.2457 x6